(1)
Below is crystalline Sb2PbS4 at its relaxed geometry, with properties calculated at the PBE level.

Its formation energy without anion corrections is -28 kJ per mole of atoms. For the total moment, the calculation gives 0.000 μB/f.u.

The structure belongs to space group Fdd2 (No. 43); the cell edges are 12.1918, 13.0916 and 9.2666 Å and the angles 90.00°, 90.00° and 90.00°. The inequivalent atoms are Sb at (0.1153, 0.3700, 0.0000), Pb at (0.0000, 0.0000, 0.1681), S at (0.0789, 0.3878, 0.2732) and S at (0.1213, 0.0603, 0.4292).

---

(2)
Below is crystalline ZrHgIr2 at its relaxed geometry, with properties calculated at the PBE level.

Its total energy is -55.148 eV per cell. For the total moment, the calculation gives 0.000 μB/f.u.

The structure belongs to space group I-4m2 (No. 119); the cell edges are 3.9879, 3.9879 and 8.7403 Å and the angles 90.00°, 90.00° and 90.00°. The inequivalent atoms are Zr at (0.0000, 0.0000, 0.0000), Hg at (0.0000, 0.5000, 0.7500), Ir at (0.0000, 0.0000, 0.5000) and Ir at (0.0000, 0.5000, 0.2500).

---

(3)
Below is crystalline SiMo2IrAu at its relaxed geometry, with properties calculated at the PBE level.

Its formation energy without anion corrections is 119 kJ per mole of atoms. For the total moment, the calculation gives 0.932 μB/f.u.

The structure belongs to space group P4/mmm (No. 123); the cell edges are 4.8255, 4.8255 and 4.4291 Å and the angles 90.00°, 90.00° and 90.00°. The inequivalent atoms are Si at (0.0000, 0.0000, 0.0000), Mo at (0.0000, 0.5000, 0.5000), Ir at (0.0000, 0.0000, 0.5000) and Au at (0.5000, 0.5000, 0.0000).

---

(4)
Below is crystalline ZrAs2Pb at its relaxed geometry, with properties calculated at the PBE level.

Its total energy is -70.438 eV per cell. For the total moment, the calculation gives 0.000 μB/f.u.

The structure belongs to space group R3m (No. 160, hexagonal axes); the cell edges are 3.9276, 3.9276 and 22.2350 Å and the angles 90.00°, 90.00° and 120.00°. The inequivalent atoms are Zr at (0.0000, 0.0000, 0.0000), As at (0.0000, 0.0000, 0.4022), As at (0.0000, 0.0000, 0.5929) and Pb at (0.0000, 0.0000, 0.8341).

---

(5)
Below is crystalline Ta2SbClF at its relaxed geometry, with properties calculated at the PBE level.

Its formation energy without anion corrections is 140 kJ per mole of atoms. For the total moment, the calculation gives 4.443 μB/f.u.

The structure belongs to space group P4/mmm (No. 123); the cell edges are 5.3072, 5.3072 and 5.3219 Å and the angles 90.00°, 90.00° and 90.00°. The inequivalent atoms are Ta at (0.0000, 0.5000, 0.0000), Sb at (0.0000, 0.0000, 0.0000), Cl at (0.0000, 0.0000, 0.5000) and F at (0.5000, 0.5000, 0.5000).

---

(6)
Below is crystalline Y2ReF at its relaxed geometry, with properties calculated at the PBE level.

Its formation energy without anion corrections is -68 kJ per mole of atoms. For the total moment, the calculation gives 0.304 μB/f.u.

The structure belongs to space group I-42d (No. 122); the cell edges are 6.8038, 6.8038 and 7.2847 Å and the angles 90.00°, 90.00° and 90.00°. The inequivalent atoms are Y at (0.1913, 0.2500, 0.1250), Re at (0.0000, 0.0000, 0.5000) and F at (0.0000, 0.0000, 0.0000).

---

(7)
Below is crystalline Si2TcTe at its relaxed geometry, with properties calculated at the PBE level.

Its formation energy without anion corrections is 55 kJ per mole of atoms. For the total moment, the calculation gives 0.000 μB/f.u.

The structure belongs to space group Cmmm (No. 65); the cell edges are 5.6094, 7.4955 and 3.1764 Å and the angles 90.00°, 90.00° and 90.00°. The inequivalent atoms are Si at (0.2500, 0.2500, 0.0000), Tc at (0.0000, 0.0000, 0.5000) and Te at (0.0000, 0.5000, 0.5000).

---

(8)
Below is crystalline SiTcBi2 at its relaxed geometry, with properties calculated at the PBE level.

Its formation energy without anion corrections is 86 kJ per mole of atoms. For the total moment, the calculation gives 0.000 μB/f.u.

The structure belongs to space group I-42d (No. 122); the cell edges are 6.3277, 6.3277 and 12.4311 Å and the angles 90.00°, 90.00° and 90.00°. The inequivalent atoms are Si at (0.0000, 0.0000, 0.0000), Tc at (0.0000, 0.0000, 0.5000) and Bi at (0.2352, 0.2500, 0.6250).